1.
RbSr2VF8 | Alexandria via LeMat-Bulk | PBE with a Hubbard U | relaxed; M_tot = 2.0 μB/f.u.; final energy = -66.83 eV/cell
1.0
4.488 0.000 0.000
0.000 7.988 0.000
-0.818 0.000 5.526
Rb Sr V F
1 2 1 8
Direct
0.000 0.000 0.000
0.500 0.256 0.500
0.500 0.744 0.500
0.000 0.500 0.000
0.066 0.316 0.767
0.066 0.684 0.767
0.400 0.500 0.215
0.449 0.000 0.722
0.551 0.000 0.278
0.600 0.500 0.785
0.934 0.316 0.233
0.934 0.684 0.233

---

2.
Rb2SrVF6 | Alexandria via LeMat-Bulk | PBE with a Hubbard U | relaxed; M_tot = 3.0 μB/f.u.; final energy = -53.17 eV/cell
1.0
-3.188 3.188 4.516
3.188 -3.188 4.516
3.188 3.188 -4.516
Rb Sr V F
2 1 1 6
Direct
0.250 0.750 0.500
0.750 0.250 0.500
0.000 0.000 0.000
0.500 0.500 0.000
0.264 0.264 0.000
0.265 0.265 0.529
0.265 0.735 0.000
0.735 0.265 0.000
0.735 0.735 0.471
0.736 0.736 0.000

---

3.
Rb2SrV3F12 | Alexandria via LeMat-Bulk | PBE with a Hubbard U | relaxed; M_tot = 7.0 μB/f.u.; final energy = -103.07 eV/cell
1.0
3.852 2.224 6.022
-3.852 2.224 6.022
0.000 -4.448 6.022
Rb Sr V F
2 1 3 12
Direct
0.121 0.121 0.121
0.879 0.879 0.879
0.500 0.500 0.500
0.000 0.500 0.500
0.500 0.000 0.500
0.500 0.500 0.000
0.104 0.613 0.613
0.211 0.211 0.596
0.211 0.596 0.211
0.387 0.387 0.896
0.387 0.896 0.387
0.404 0.789 0.789
0.596 0.211 0.211
0.613 0.104 0.613
0.613 0.613 0.104
0.789 0.404 0.789
0.789 0.789 0.404
0.896 0.387 0.387

---

4.
Rb3SrV2F9 | Alexandria via LeMat-Bulk | PBE with a Hubbard U | relaxed; M_tot = 6.0 μB/f.u.; final energy = -80.91 eV/cell
1.0
6.238 0.000 0.000
-3.119 5.402 0.000
0.000 0.000 7.750
Rb Sr V F
3 1 2 9
Direct
0.000 0.000 0.000
0.333 0.667 0.686
0.667 0.333 0.314
0.000 0.000 0.500
0.333 0.667 0.155
0.667 0.333 0.845
0.000 0.500 0.000
0.176 0.351 0.314
0.176 0.824 0.314
0.351 0.176 0.686
0.500 0.000 0.000
0.500 0.500 0.000
0.649 0.824 0.314
0.824 0.176 0.686
0.824 0.649 0.686

---

5.
RbSrVF6 | Alexandria via LeMat-Bulk | PBE with a Hubbard U | relaxed; M_tot = 2.0 μB/f.u.; final energy = -101.13 eV/cell
1.0
-3.835 3.992 5.189
3.835 -3.992 5.189
3.835 3.992 -5.189
Rb Sr V F
2 2 2 12
Direct
0.348 0.098 0.250
0.652 0.902 0.750
0.000 0.500 0.500
0.500 0.500 0.000
0.000 0.000 0.500
0.000 0.500 0.000
0.042 0.336 0.138
0.042 0.904 0.706
0.068 0.318 0.750
0.302 0.096 0.638
0.302 0.664 0.206
0.375 0.625 0.750
0.625 0.375 0.250
0.698 0.336 0.794
0.698 0.904 0.362
0.932 0.682 0.250
0.958 0.096 0.294
0.958 0.664 0.862

---

6.
Rb2SrWF6 | Alexandria via LeMat-Bulk | PBE with a Hubbard U | relaxed; M_tot = 3.4 μB/f.u.; final energy = -49.31 eV/cell
1.0
0.000 4.658 4.658
4.658 0.000 4.658
4.658 4.658 0.000
Rb Sr W F
2 1 1 6
Direct
0.250 0.250 0.250
0.750 0.750 0.750
0.000 0.000 0.000
0.500 0.500 0.500
0.265 0.265 0.735
0.265 0.735 0.265
0.265 0.735 0.735
0.735 0.265 0.265
0.735 0.265 0.735
0.735 0.735 0.265